(1)
Material: NdAgSO
Method: DFT, PBE-GGA
State: relaxed

Geometry as CIF:
```
data_NdAgSO
_cell_length_a 7.4751
_cell_length_b 8.2581
_cell_length_c 5.6886
_cell_angle_alpha 90.00
_cell_angle_beta 90.00
_cell_angle_gamma 90.00
_space_group_name_H-M_alt 'P c a 21'
_space_group_IT_number 29
loop_
_space_group_symop_operation_xyz
'x,y,z'
'-x,-y,z+1/2'
'-x+1/2,y,z+1/2'
'x+1/2,-y,z'
loop_
_atom_site_label
_atom_site_type_symbol
_atom_site_fract_x
_atom_site_fract_y
_atom_site_fract_z
Nd1 Nd 0.0393 0.1908 0.0000
Ag1 Ag 0.1176 0.6172 0.9883
S1 S 0.0854 0.1378 0.5007
O1 O 0.0919 0.5859 0.5266
```

## Properties
Calculated total energy in eV per atom: -5.59
Magnetization in μB per atom: 0.00
Volume in Å³ per atom: 21.9
Crystal system: orthorhombic


(2)
Material: Rb3DyF6
Method: DFT, PBE-GGA
State: relaxed

Geometry as CIF:
```
data_Rb3DyF6
_cell_length_a 9.3505
_cell_length_b 9.3505
_cell_length_c 9.3505
_cell_angle_alpha 90.00
_cell_angle_beta 90.00
_cell_angle_gamma 90.00
_space_group_name_H-M_alt 'F m -3 m'
_space_group_IT_number 225
_space_group_name_Hall '-F 4 2 3'
loop_
_atom_site_label
_atom_site_type_symbol
_atom_site_fract_x
_atom_site_fract_y
_atom_site_fract_z
Rb1 Rb 0.0000 0.0000 0.0000
Rb2 Rb 0.2500 0.2500 0.2500
Dy1 Dy 0.0000 0.0000 0.5000
F1 F 0.0000 0.0000 0.2707
```

## Properties
Calculated total energy in eV per atom: -5.13
Magnetization in μB per atom: 0.00
Volume in Å³ per atom: 20.4
Crystal system: cubic


(3)
Material: AcTbIn
Method: DFT, PBE-GGA
State: relaxed

Geometry as CIF:
```
data_AcTbIn
_cell_length_a 7.7748
_cell_length_b 7.7748
_cell_length_c 7.7748
_cell_angle_alpha 90.00
_cell_angle_beta 90.00
_cell_angle_gamma 90.00
_space_group_name_H-M_alt 'F -4 3 m'
_space_group_IT_number 216
_space_group_name_Hall 'F -4 2 3'
loop_
_atom_site_label
_atom_site_type_symbol
_atom_site_fract_x
_atom_site_fract_y
_atom_site_fract_z
Ac1 Ac 0.0000 0.0000 0.0000
Tb1 Tb 0.2500 0.2500 0.2500
In1 In 0.2500 0.2500 0.7500
```

## Properties
Magnetization in μB per atom: 0.00
Excess energy over the best structure of this formula in the dataset in meV/atom: 524
Volume in Å³ per atom: 39.2
Crystal system: cubic


Question: Which value of volume does entry 2 give?
Answer: 20.4 Å³ per atom